No. 1
DFT (PBE) results for an optimized crystal structure of NaMg2Tl3.

The calculation puts the formation energy at -0.084 eV/atom.

The structure belongs to space group P4/mmm (No. 123); the cell edges are 3.568, 3.568 and 12.309 Å and the angles 90.00°, 90.00° and 90.00°. The asymmetric unit holds Na at (0.000, 0.000, 0.000), Mg at (0.000, 0.000, 0.344), Tl at (0.500, 0.500, 0.185) and Tl at (0.500, 0.500, 0.500).

---

No. 2
DFT (PBE) results for an optimized crystal structure of NaMgTl2.

The calculation puts the offset from the most stable computed form at 0.026 eV per atom. The calculation puts the formation energy at -0.084 eV/atom.

The structure belongs to space group P4/mmm (No. 123); the cell edges are 5.250, 5.250 and 3.781 Å and the angles 90.00°, 90.00° and 90.00°. The asymmetric unit holds Na at (0.000, 0.000, 0.000), Mg at (0.500, 0.500, 0.000) and Tl at (0.000, 0.500, 0.500).

---

No. 3
DFT (PBE) results for an optimized crystal structure of Na4MgTl3.

The calculation puts the formation energy at -0.029 eV/atom.

The structure belongs to space group P-1 (No. 2); the cell edges are 3.379, 4.900 and 14.763 Å and the angles 80.76°, 84.27° and 89.95°. The asymmetric unit holds Na at (0.097, 0.100, 0.305), Na at (0.215, 0.217, 0.067), Mg at (0.000, 0.500, 0.500), Tl at (0.343, 0.340, 0.817) and Tl at (0.500, 0.000, 0.500).

---

No. 4
DFT (PBE) results for an optimized crystal structure of NaMg2Tl8.

The calculation puts the offset from the most stable computed form at 0.043 eV per atom. The calculation puts the formation energy at 0.014 eV/atom.

The structure belongs to space group C2/m (No. 12); the cell edges are 8.728, 13.809 and 5.669 Å and the angles 90.00°, 108.76° and 90.00°. The asymmetric unit holds Na at (0.000, 0.000, 0.000), Mg at (0.000, 0.310, 0.500), Tl at (0.000, 0.235, 0.000), Tl at (0.110, 0.500, 0.815) and Tl at (0.202, 0.117, 0.614).

---

Per-record total moment, μB/atom: 0.000; 0.000; 0.000; 0.000